1.
Here is Hf2ZrS after structural relaxation from Alexandria via LeMat-Bulk. Energies are from PBE-GGA. Values from VASP.

Calculated values
Formation energy (no corrections) ... -0.6297 eV/atom
Crystal system ... trigonal

```
&SYSTEM
  ibrav = 0, nat = 4, ntyp = 3
/
ATOMIC_SPECIES
Hf 178.49 Hf.upf
Zr 91.22 Zr.upf
S 32.06 S.upf
CELL_PARAMETERS angstrom
3.335 0.000 0.000
1.668 2.888 0.000
1.668 0.963 8.550
ATOMIC_POSITIONS crystal
Hf 0.070 0.070 0.791
Hf 0.264 0.264 0.209
Zr 0.499 0.499 0.502
S 0.667 0.667 0.998
```

2.
Here is HfZr3S after structural relaxation from Alexandria via LeMat-Bulk. Energies are from PBE-GGA. Values from VASP.

Calculated values
Formation energy (no corrections) ... -0.4613 eV/atom
Relative energy among the computed polymorphs ... 0.080 eV/atom
Crystal system ... cubic

```
&SYSTEM
  ibrav = 0, nat = 5, ntyp = 3
/
ATOMIC_SPECIES
S 32.06 S.upf
Hf 178.49 Hf.upf
Zr 91.22 Zr.upf
CELL_PARAMETERS angstrom
-1.607 3.175 -3.297
-4.442 -0.240 1.934
1.103 3.660 2.986
ATOMIC_POSITIONS crystal
S 0.000 0.000 0.000
Hf 0.500 0.500 0.500
Zr 0.000 0.500 0.000
Zr 0.000 0.000 0.500
Zr 0.500 0.000 0.000
```

3.
Here is Hf2ZrS4 after structural relaxation from Alexandria via LeMat-Bulk. Energies are from PBE-GGA. Values from VASP.

Calculated values
Formation energy (no corrections) ... -1.3735 eV/atom
Crystal system ... orthorhombic

```
&SYSTEM
  ibrav = 0, nat = 14, ntyp = 3
/
ATOMIC_SPECIES
Hf 178.49 Hf.upf
Zr 91.22 Zr.upf
S 32.06 S.upf
CELL_PARAMETERS angstrom
3.447 0.000 0.000
-1.723 5.819 0.000
0.000 0.000 13.233
ATOMIC_POSITIONS crystal
Hf 0.148 0.296 0.438
Hf 0.852 0.704 0.938
Hf 0.148 0.296 0.062
Hf 0.852 0.704 0.562
Zr 0.616 0.232 0.750
Zr 0.384 0.768 0.250
S 0.796 0.592 0.122
S 0.796 0.592 0.378
S 0.204 0.408 0.878
S 0.204 0.408 0.622
S 0.946 0.893 0.750
S 0.054 0.107 0.250
S 0.500 0.000 0.000
S 0.500 0.000 0.500
```

4.
Here is Hf2ZrS after structural relaxation from Alexandria via LeMat-Bulk. Energies are from PBE-GGA. Values from VASP.

Calculated values
Formation energy (no corrections) ... -0.7449 eV/atom
Crystal system ... orthorhombic

```
&SYSTEM
  ibrav = 0, nat = 8, ntyp = 3
/
ATOMIC_SPECIES
Hf 178.49 Hf.upf
Zr 91.22 Zr.upf
S 32.06 S.upf
CELL_PARAMETERS angstrom
-0.426 0.071 -3.576
1.248 -5.009 1.566
-8.138 -1.735 0.935
ATOMIC_POSITIONS crystal
Hf 0.361 0.723 0.547
Hf 0.639 0.277 0.453
Hf 0.361 0.723 0.953
Hf 0.639 0.277 0.047
Zr 0.941 0.881 0.250
Zr 0.059 0.119 0.750
S 0.771 0.542 0.750
S 0.229 0.458 0.250
```

5.
Here is HfZr2S5 after structural relaxation from Alexandria via LeMat-Bulk. Energies are from PBE-GGA. Values from VASP.

Calculated values
Formation energy (no corrections) ... -1.4718 eV/atom
Crystal system ... orthorhombic

```
&SYSTEM
  ibrav = 0, nat = 16, ntyp = 3
/
ATOMIC_SPECIES
Hf 178.49 Hf.upf
Zr 91.22 Zr.upf
S 32.06 S.upf
CELL_PARAMETERS angstrom
-2.476 -0.997 4.204
-0.795 -4.723 -4.537
9.928 -5.935 4.439
ATOMIC_POSITIONS crystal
Hf 0.808 0.615 0.750
Hf 0.192 0.385 0.250
Zr 0.838 0.675 0.460
Zr 0.838 0.675 0.040
Zr 0.162 0.325 0.540
Zr 0.162 0.325 0.960
S 0.958 0.917 0.879
S 0.958 0.917 0.621
S 0.331 0.663 0.412
S 0.331 0.663 0.088
S 0.749 0.498 0.250
S 0.251 0.502 0.750
S 0.669 0.337 0.588
S 0.669 0.337 0.912
S 0.042 0.083 0.121
S 0.042 0.083 0.379
```

6.
Here is HfSb after structural relaxation from Alexandria via LeMat-Bulk. Energies are from PBE-GGA. Values from VASP.

Calculated values
Formation energy (no corrections) ... -0.2623 eV/atom
Crystal system ... orthorhombic

```
&SYSTEM
  ibrav = 0, nat = 12, ntyp = 2
/
ATOMIC_SPECIES
Hf 178.49 Hf.upf
Sb 121.76 Sb.upf
CELL_PARAMETERS angstrom
4.524 0.000 0.000
0.000 9.635 0.000
0.000 0.000 6.903
ATOMIC_POSITIONS crystal
Hf 0.000 0.281 0.971
Hf 0.000 0.719 0.971
Hf 0.000 0.781 0.471
Hf 0.000 0.219 0.471
Hf 0.500 0.000 0.408
Hf 0.500 0.500 0.908
Sb 0.500 0.833 0.756
Sb 0.500 0.167 0.756
Sb 0.500 0.333 0.256
Sb 0.500 0.667 0.256
Sb 0.000 0.000 0.141
Sb 0.000 0.500 0.641
```

no.,total energy (eV/atom)
1,-8.78
2,-8.41
3,-7.80
4,-8.89
5,-7.43
6,-7.30